A plane-wave DFT calculation with GGA-PBE was carried out for crystalline Cd2AgF6 at its relaxed geometry.

Results
* formation energy without anion corrections: -1809 meV/atom
* space group: P4_2/mnm (136)

abc: 5.108 5.108 10.930
angles: 90.00 90.00 90.00
Site moments in Bohr magnetons follow the coordinates.
Positions (direct):
Cd: 0.500 0.500 0.333  0.01
Cd: 0.500 0.500 0.667  0.01
Cd: 0.000 0.000 0.167  0.01
Cd: 0.000 0.000 0.833  0.01
Ag: 0.500 0.500 0.000  0.57
Ag: 0.000 0.000 0.500  0.57
F: 0.695 0.695 0.169  0.05
F: 0.695 0.695 0.831  0.05
F: 0.700 0.700 0.500  0.11
F: 0.800 0.200 0.000  0.11
F: 0.805 0.195 0.331  0.05
F: 0.805 0.195 0.669  0.05
F: 0.195 0.805 0.331  0.05
F: 0.195 0.805 0.669  0.05
F: 0.200 0.800 0.000  0.11
F: 0.300 0.300 0.500  0.11
F: 0.305 0.305 0.169  0.05
F: 0.305 0.305 0.831  0.05

A plane-wave DFT calculation with GGA-PBE was carried out for crystalline MnAlPb3 at its relaxed geometry.

Results
* space group: Pm-3m (221)
* calculated formation energy: 0.47 eV per atom

abc: 5.226 5.226 5.226
angles: 90.00 90.00 90.00
Site moments in Bohr magnetons follow the coordinates.
Positions (direct):
Pb: 0.000 0.500 0.000  -0.07
Pb: 0.000 0.000 0.500  -0.01
Pb: 0.500 0.000 0.000  -0.12
Mn: 0.000 0.000 0.000  2.55
Al: 0.500 0.500 0.500  0.02

A plane-wave DFT calculation with GGA-PBE was carried out for crystalline Nd3Ni2 at its relaxed geometry.

Results
* space group: R-3c (167)
* calculated formation energy: -0.19 eV per atom

abc: 6.927 6.927 7.452
angles: 62.30 62.30 60.00
Positions (direct):
Ni: 0.814 0.814 0.557
Ni: 0.314 0.314 0.057
Ni: 0.186 0.186 0.443
Ni: 0.686 0.686 0.943
Nd: 0.123 0.750 0.750
Nd: 0.750 0.377 0.750
Nd: 0.377 0.123 0.750
Nd: 0.250 0.623 0.250
Nd: 0.623 0.877 0.250
Nd: 0.877 0.250 0.250

A plane-wave DFT calculation with GGA-PBE was carried out for crystalline K2AgPd at its relaxed geometry.

Results
* space group: Fm-3m (225)
* calculated formation energy: 0.25 eV per atom

abc: 5.573 5.573 5.573
angles: 60.00 60.00 60.00
Positions (direct):
K: 0.250 0.250 0.250
K: 0.750 0.750 0.750
Pd: 0.000 0.000 0.000
Ag: 0.500 0.500 0.500

A plane-wave DFT calculation with GGA-PBE was carried out for crystalline Tb2AlPd4 at its relaxed geometry.

Results
* space group: I4/mmm (139)
* calculated formation energy: -0.50 eV per atom

abc: 4.597 4.597 7.951
angles: 106.80 106.80 90.00
Positions (direct):
Tb: 0.642 0.642 0.283
Tb: 0.358 0.358 0.717
Al: 0.000 0.000 0.000
Pd: 0.833 0.833 0.667
Pd: 0.167 0.167 0.333
Pd: 0.000 0.500 0.000
Pd: 0.500 0.000 0.000

A plane-wave DFT calculation with GGA-PBE was carried out for crystalline Ba2PmPuS5 at its relaxed geometry.

Results
* formation energy without anion corrections: -1717 meV/atom
* space group: P4/mmm (123)

abc: 5.027 5.027 10.913
angles: 90.00 90.00 90.00
Site moments in Bohr magnetons follow the coordinates.
Positions (direct):
Ba: 0.500 0.500 0.290  0.01
Ba: 0.500 0.500 0.710  0.01
Pm: 0.000 0.000 0.000  0.06
Pu: 0.000 0.000 0.500  4.76
S: 0.000 0.500 0.500  -0.10
S: 0.500 0.000 0.500  -0.10
S: 0.000 0.000 0.756  -0.03
S: 0.000 0.000 0.244  -0.03
S: 0.500 0.500 0.000  0.00

A plane-wave DFT calculation with GGA-PBE was carried out for crystalline USiIrOs at its relaxed geometry.

Results
* formation energy without anion corrections: -200 meV/atom
* space group: Amm2 (38)

abc: 4.270 3.714 4.809
angles: 112.72 90.00 90.00
Site moments in Bohr magnetons follow the coordinates.
Positions (direct):
U: 0.500 0.217 0.435  0.97
Si: 0.000 0.618 0.236  0.00
Ir: 0.000 0.901 0.801  -0.05
Os: 0.500 0.492 0.984  -0.10

A plane-wave DFT calculation with GGA-PBE was carried out for crystalline Y2Er3Os2 at its relaxed geometry.

Results
* space group: C2/m (12)
* calculated formation energy: -0.26 eV per atom

abc: 3.986 6.193 8.263
angles: 111.62 90.00 108.77
Positions (direct):
Y: 0.836 0.672 0.188
Y: 0.164 0.328 0.812
Er: 0.500 0.000 0.000
Er: 0.626 0.251 0.431
Er: 0.374 0.749 0.569
Os: 0.825 0.651 0.783
Os: 0.175 0.349 0.217

| no. | VASP energy (Ry/atom) | M_tot (μB per formula unit) |
| --- | --- | --- |
| 1 | -0.2629 | 1.03 |
| 2 | -0.3185 | 2.47 |
| 3 | -0.3944 | 0.00 |
| 4 | -0.1696 | 0.00 |
| 5 | -0.3917 | 0.00 |
| 6 | -0.4820 | 4.86 |
| 7 | -0.6909 | 0.87 |
| 8 | -0.5345 | 0.00 |